LiIrWO6 | GGA+U | optimized geometry

```
18
Lattice="4.736 0.000 0.000 0.000 4.736 0.000 0.000 0.000 9.068" Properties=species:S:1:pos:R:3 pbc="T T T"
Li 0.000 0.000 0.000
Li 2.368 2.368 4.534
Ir 0.000 0.000 2.954
Ir 2.368 2.368 7.488
W 0.000 0.000 6.052
W 2.368 2.368 1.518
O 0.875 0.875 4.509
O 0.992 0.992 1.583
O 0.993 0.993 7.383
O 1.375 3.361 2.849
O 1.376 3.360 6.117
O 1.493 3.243 9.043
O 3.243 1.493 9.043
O 3.360 1.376 6.117
O 3.361 1.375 2.849
O 3.743 3.743 7.383
O 3.744 3.744 1.583
O 3.861 3.861 4.509
```

Results
E_tot	-121.6	eV/cell
magnetic moment	0.00	μB per cell
calculated volume	11.30	A^3/atom
crystal system	tetragonal